(1)
Entry from Alexandria via LeMat-Bulk: a relaxed structure of LaPPt2 (PBE).

Cell and atoms, written as POSCAR:
```
LaPPt2
1.0
-3.6344 -4.6628 -4.3585
1.9606 -2.0703 6.7688
-5.5869 2.2101 2.2942
Pt La P
6 3 3
Cartesian
-1.8315 -0.2072 1.7489 Pt
-0.5691 -1.2218 -0.2089 Pt
-3.5668 -5.0526 2.1909 Pt
-1.1047 -5.5113 2.6192 Pt
-2.3638 -0.8749 7.1053 Pt
-6.7591 -2.9114 -1.6360 Pt
-1.7680 -2.9982 1.5875 La
-6.4729 -0.4896 -0.2674 La
-1.8131 0.0699 4.5315 La
-3.6795 -1.5947 -1.4145 P
0.9803 -1.0352 3.3844 P
-4.5615 -1.8932 2.7347 P
```

- E (eV per atom) = -5.601
- M_tot (Bohr magnetons per cell) = 0.000
- energy relative to the elements (meV per atom) = 4
- space group = P6_222

---

(2)
Entry from Alexandria via LeMat-Bulk: a relaxed structure of AlInPt2 (PBE).

Cell and atoms, written as POSCAR:
```
AlInPt2
1.0
8.7827 0.0031 0.0017
8.2473 3.0196 0.0017
8.2473 1.4640 2.6410
Al Pt In
1 2 1
Cartesian
12.8496 2.2808 1.3443 Al
25.2393 4.4799 2.6405 Pt
6.1688 1.0950 0.6454 Pt
18.9352 3.3610 1.9810 In
```

- E (eV per atom) = -4.887
- M_tot (Bohr magnetons per cell) = 0.000
- energy relative to the elements (meV per atom) = -246
- space group = R3m

---

(3)
Entry from Alexandria via LeMat-Bulk: a relaxed structure of YSi4Pd6 (PBE).

Cell and atoms, written as POSCAR:
```
YSi4Pd6
1.0
6.3546 0.0848 0.1247
-2.8629 5.6738 -0.1247
-2.8629 -2.2020 5.2306
Si Pd Y
4 6 1
Cartesian
-2.0227 2.8596 0.6932 Si
-2.2549 3.0004 4.4126 Si
1.2034 1.5751 2.3164 Si
-2.0227 -0.4067 2.9142 Si
-3.6324 3.3686 2.4462 Pd
3.2273 0.8149 1.1985 Pd
1.7459 2.8793 0.0000 Pd
-3.6324 1.0364 4.0321 Pd
-1.0593 1.8084 2.6596 Pd
1.7459 -1.0586 2.6776 Pd
0.0000 0.0000 0.0000 Y
```

- E (eV per atom) = -5.979
- M_tot (Bohr magnetons per cell) = 0.000
- raw formation energy (eV per atom) = -0.59
- excess energy over the best structure of this formula in the dataset (eV per atom) = 0.209
- space group = I-42m

---

(4)
Entry from Alexandria via LeMat-Bulk: a relaxed structure of TeMoBr2 (PBE).

Cell and atoms, written as POSCAR:
```
TeMoBr2
1.0
-1.5764 2.7982 -0.1363
-2.4746 -1.4641 -1.4374
-3.9765 -1.8167 8.6961
Mo Br Te
1 2 1
Cartesian
-1.9836 -0.9062 4.3380 Mo
-3.9654 -1.8116 8.6719 Br
-3.3387 0.0671 2.0851 Br
-4.7043 -0.5568 5.0715 Te
```

- E (eV per atom) = -4.265
- M_tot (Bohr magnetons per cell) = 0.001
- raw formation energy (eV per atom) = 0.06
- excess energy over the best structure of this formula in the dataset (eV per atom) = 0.275
- space group = P4mm

---

(5)
Entry from Alexandria via LeMat-Bulk: a relaxed structure of EuHoSb (PBE).

Cell and atoms, written as POSCAR:
```
EuHoSb
1.0
-0.7446 3.3010 2.7229
-2.8951 -3.0469 2.9021
5.0119 0.3825 0.9068
Sb Ho Eu
1 1 1
Cartesian
2.2093 -0.0208 2.1821 Sb
-0.0965 0.4276 0.3527 Ho
-0.7407 0.2298 3.9969 Eu
```

- E (eV per atom) = -6.840
- M_tot (Bohr magnetons per cell) = 7.242
- raw formation energy (eV per atom) = -0.51
- space group = P3m1

---

(6)
Entry from Alexandria via LeMat-Bulk: a relaxed structure of CsTmMnSe3 (PBE).

Cell and atoms, written as POSCAR:
```
CsTmMnSe3
1.0
-1.0900 0.4341 4.0616
-8.8259 -3.2893 -2.0171
6.4915 -7.6174 2.5564
Se Tm Mn Cs
6 2 2 2
Cartesian
0.6083 -8.0538 2.1242 Se
4.1985 -6.8822 2.9625 Se
-4.0327 -2.4188 2.4767 Se
0.9896 -4.5189 4.0490 Se
-4.4140 -5.9537 0.5519 Se
-7.6229 -3.5904 1.6384 Se
-5.2727 -3.1177 0.0183 Tm
1.8483 -7.3549 4.5826 Tm
-6.3719 -5.6329 2.1924 Mn
2.9475 -4.8397 2.4085 Mn
-2.8052 -7.9952 3.4021 Cs
-0.6191 -2.4774 1.1988 Cs
```

- E (eV per atom) = -5.464
- M_tot (Bohr magnetons per cell) = 10.004
- raw formation energy (eV per atom) = -1.31
- space group = P2_1/m